1.
# Cs3K2Cl2F4

Crystalline Cs3K2Cl2F4 at its relaxed geometry (PBE, Alexandria via LeMat-Bulk).

Raw formation energy in meV/atom: -2190

Lattice parameters (Å, degrees): 13.2541 13.2541 13.2541 157.99 157.99 31.32
With the nearest neighbours (Å) after each atom.
Element x y z (fractional)
Cs  0.0000  0.0000  0.0000  8 F 3.21
Cs  0.1570  0.1570  0.0000  4 F 3.25, 1 Cl 3.48
Cs  0.8430  0.8430  0.0000  4 F 3.25, 1 Cl 3.48
K  0.4160  0.4160  0.0000  4 F 2.54
K  0.5840  0.5840  0.0000  4 F 2.54
Cl  0.2932  0.2932  0.0000  1 K 3.13, 1 Cs 3.48
Cl  0.7068  0.7068  0.0000  1 K 3.13, 1 Cs 3.48
F  0.0771  0.5771  0.5000  2 K 2.54
F  0.4229  0.9229  0.5000  2 K 2.54
F  0.5771  0.0771  0.5000  2 K 2.54
F  0.9229  0.4229  0.5000  2 K 2.54



2.
# SmDy2Tl

Crystalline SmDy2Tl at its relaxed geometry (PBE, Alexandria via LeMat-Bulk).

Energy above the lowest structure with this stoichiometry in meV per atom: 172
ΔH_f (0 K) in meV per atom: -12

Lattice parameters (Å, degrees): 5.4907 5.4907 5.4907 60.00 60.00 60.00
With the nearest neighbours (Å) after each atom.
Element x y z (fractional)
Sm  0.0000  0.0000  0.0000  8 Dy 3.36
Dy  0.2500  0.2500  0.2500  4 Tl 3.36, 4 Sm 3.36
Dy  0.7500  0.7500  0.7500  4 Tl 3.36, 4 Sm 3.36
Tl  0.5000  0.5000  0.5000  8 Dy 3.36



3.
# ThMgInCu

Crystalline ThMgInCu at its relaxed geometry (PBE, Alexandria via LeMat-Bulk).

ΔH_f (0 K) in meV per atom: -121

Lattice parameters (Å, degrees): 5.0823 5.0823 5.0823 60.00 60.00 60.00
With the nearest neighbours (Å) after each atom.
Element x y z (fractional)
Th  0.0000  0.0000  0.0000  4 In 3.11, 4 Cu 3.11
Mg  0.5000  0.5000  0.5000  4 Cu 3.11, 4 In 3.11
In  0.2500  0.2500  0.2500  4 Mg 3.11, 4 Th 3.11
Cu  0.7500  0.7500  0.7500  4 Th 3.11, 4 Mg 3.11



4.
# Na2CuHg2

Crystalline Na2CuHg2 at its relaxed geometry (PBE, Alexandria via LeMat-Bulk).

Energy above the lowest structure with this stoichiometry in meV per atom: 192
ΔH_f (0 K) in meV per atom: 147

Lattice parameters (Å, degrees): 7.6317 7.6317 4.4331 90.00 90.00 90.00
With the nearest neighbours (Å) after each atom.
Element x y z (fractional)
Na  0.1533  0.3467  0.0000  2 Cu 2.89, 6 Hg 3.05-3.22
Na  0.3467  0.8467  0.0000  2 Cu 2.89, 6 Hg 3.05-3.22
Na  0.6533  0.1533  0.0000  2 Cu 2.89, 6 Hg 3.05-3.22
Na  0.8467  0.6533  0.0000  2 Cu 2.89, 6 Hg 3.05-3.22
Cu  0.0000  0.0000  0.0000  4 Na 2.89
Cu  0.5000  0.5000  0.0000  4 Na 2.89
Hg  0.1522  0.6522  0.5000  6 Na 3.05-3.22, 1 Hg 3.29
Hg  0.3478  0.1522  0.5000  6 Na 3.05-3.22, 1 Hg 3.29
Hg  0.6522  0.8478  0.5000  6 Na 3.05-3.22, 1 Hg 3.29
Hg  0.8478  0.3478  0.5000  6 Na 3.05-3.22, 1 Hg 3.29



5.
# NbH2Cl8

Crystalline NbH2Cl8 at its relaxed geometry (PBE, Alexandria via LeMat-Bulk).

Energy above the lowest structure with this stoichiometry in meV per atom: 0

Lattice parameters (Å, degrees): 7.1602 7.1602 10.3463 113.57 113.57 54.62
With the nearest neighbours (Å) after each atom.
Element x y z (fractional)
Nb  0.0000  0.0000  0.0000  6 Cl 2.37-2.40
H  0.1558  0.1558  0.3967  1 Cl 1.32
H  0.8442  0.8442  0.6033  1 Cl 1.32
Cl  0.0152  0.0152  0.7768  1 H 2.11
Cl  0.1013  0.5999  0.9063  1 Nb 2.37
Cl  0.2606  0.2606  0.5106  1 H 1.32
Cl  0.4001  0.8987  0.0937  1 Nb 2.37
Cl  0.5999  0.1013  0.9063  1 Nb 2.37
Cl  0.7394  0.7394  0.4894  1 H 1.32
Cl  0.8987  0.4001  0.0937  1 Nb 2.37
Cl  0.9848  0.9848  0.2232  1 H 2.11



6.
# MnCo3Ag

Crystalline MnCo3Ag at its relaxed geometry (PBE, Alexandria via LeMat-Bulk).

Energy above the lowest structure with this stoichiometry in meV per atom: 0
ΔH_f (0 K) in meV per atom: 1138

Lattice parameters (Å, degrees): 4.1899 4.1899 4.1899 90.00 90.00 90.00
With the nearest neighbours (Å) after each atom.
Element x y z (fractional)
Mn  0.0000  0.0000  0.0000  6 Co 2.09
Co  0.0000  0.0000  0.5000  2 Mn 2.09
Co  0.0000  0.5000  0.0000  2 Mn 2.09
Co  0.5000  0.0000  0.0000  2 Mn 2.09
Ag  0.5000  0.5000  0.5000  12 Co 2.96



7.
# TbPrNd3Er

Crystalline TbPrNd3Er at its relaxed geometry (PBE, Alexandria via LeMat-Bulk).

ΔH_f (0 K) in meV per atom: 17

Lattice parameters (Å, degrees): 8.1569 8.1569 10.2654 90.00 90.00 143.30
With the nearest neighbours (Å) after each atom.
Element x y z (fractional)
Tb  0.0015  0.9985  0.7500  2 Er 3.61, 6 Nd 3.62-3.67, 4 Pr 3.63
Tb  0.9985  0.0015  0.2500  2 Er 3.61, 6 Nd 3.62-3.67, 4 Pr 3.63
Pr  0.5000  0.5000  0.0000  2 Er 3.63, 4 Tb 3.63, 6 Nd 3.64-3.65
Pr  0.5000  0.5000  0.5000  2 Er 3.63, 4 Tb 3.63, 6 Nd 3.64-3.65
Nd  0.1669  0.8331  0.5005  2 Tb 3.62-3.66, 5 Nd 3.62-3.63, 3 Er 3.63-3.65, 2 Pr 3.64
Nd  0.1669  0.8331  0.9995  2 Tb 3.62-3.66, 5 Nd 3.62-3.63, 3 Er 3.63-3.65, 2 Pr 3.64
Nd  0.3325  0.6675  0.7500  6 Nd 3.62-3.63, 2 Er 3.64, 2 Pr 3.65, 2 Tb 3.67
Nd  0.6675  0.3325  0.2500  6 Nd 3.62-3.63, 2 Er 3.64, 2 Pr 3.65, 2 Tb 3.67
Nd  0.8331  0.1669  0.0005  2 Tb 3.62-3.66, 5 Nd 3.62-3.63, 3 Er 3.63-3.65, 2 Pr 3.64
Nd  0.8331  0.1669  0.4995  2 Tb 3.62-3.66, 5 Nd 3.62-3.63, 3 Er 3.63-3.65, 2 Pr 3.64
Er  0.3343  0.6657  0.2500  2 Tb 3.61, 8 Nd 3.63-3.65, 2 Pr 3.63
Er  0.6657  0.3343  0.7500  2 Tb 3.61, 8 Nd 3.63-3.65, 2 Pr 3.63



8.
# KBaSe

Crystalline KBaSe at its relaxed geometry (PBE, Alexandria via LeMat-Bulk).

Energy above the lowest structure with this stoichiometry in meV per atom: 26
Raw formation energy in meV/atom: -1164

Lattice parameters (Å, degrees): 4.7565 4.7565 8.0595 90.00 90.00 120.00
With the nearest neighbours (Å) after each atom.
Element x y z (fractional)
K  0.0000  0.0000  0.0000  3 Se 3.42
Ba  0.3333  0.6667  0.4485  3 Se 3.17
Se  0.6667  0.3333  0.2519  3 Ba 3.17, 3 K 3.42



9.
# BaHg3Sb3

Crystalline BaHg3Sb3 at its relaxed geometry (PBE, Alexandria via LeMat-Bulk).

Raw formation energy in meV/atom: -122

Lattice parameters (Å, degrees): 8.0196 8.0196 8.0196 90.00 90.00 90.00
With the nearest neighbours (Å) after each atom.
Element x y z (fractional)
Ba  0.0000  0.0000  0.0000  12 Hg 4.48, 12 Sb 4.48
Ba  0.5000  0.5000  0.5000  12 Hg 4.48, 12 Sb 4.48
Hg  0.0000  0.2500  0.5000  4 Sb 2.84
Hg  0.0000  0.7500  0.5000  4 Sb 2.84
Hg  0.2500  0.5000  0.0000  4 Sb 2.84
Hg  0.5000  0.0000  0.2500  4 Sb 2.84
Hg  0.5000  0.0000  0.7500  4 Sb 2.84
Hg  0.7500  0.5000  0.0000  4 Sb 2.84
Sb  0.0000  0.5000  0.2500  4 Hg 2.84
Sb  0.0000  0.5000  0.7500  4 Hg 2.84
Sb  0.2500  0.0000  0.5000  4 Hg 2.84
Sb  0.5000  0.2500  0.0000  4 Hg 2.84
Sb  0.5000  0.7500  0.0000  4 Hg 2.84
Sb  0.7500  0.0000  0.5000  4 Hg 2.84



10.
# Pm2NpSb

Crystalline Pm2NpSb at its relaxed geometry (PBE, Alexandria via LeMat-Bulk).

Energy above the lowest structure with this stoichiometry in meV per atom: 0
Raw formation energy in meV/atom: -198

Lattice parameters (Å, degrees): 4.9051 4.9051 4.6379 90.00 90.00 90.00
With the nearest neighbours (Å) after each atom.
Element x y z (fractional)
Pm  0.0000  0.5000  0.0000  4 Sb 3.38, 4 Np 3.38, 4 Pm 3.47
Pm  0.5000  0.0000  0.0000  4 Sb 3.38, 4 Np 3.38, 4 Pm 3.47
Np  0.0000  0.0000  0.5000  8 Pm 3.38, 4 Sb 3.47
Sb  0.5000  0.5000  0.5000  8 Pm 3.38, 4 Np 3.47



11.
# La4Pr2Sm3

Crystalline La4Pr2Sm3 at its relaxed geometry (PBE, Alexandria via LeMat-Bulk).

Energy above the lowest structure with this stoichiometry in meV per atom: 6
ΔH_f (0 K) in meV per atom: 22

Lattice parameters (Å, degrees): 6.4025 6.4025 11.0964 106.54 106.54 48.35
With the nearest neighbours (Å) after each atom.
Element x y z (fractional)
La  0.9999  0.9999  0.1670  3 Pr 3.68-3.70, 6 Sm 3.69-3.72, 3 La 3.71
La  0.0001  0.0001  0.8330  3 Pr 3.68-3.70, 6 Sm 3.69-3.72, 3 La 3.71
La  0.3336  0.3336  0.6110  4 Sm 3.70-3.72, 4 Pr 3.70-3.72, 4 La 3.71
La  0.6664  0.6664  0.3890  4 Sm 3.70-3.72, 4 Pr 3.70-3.72, 4 La 3.71
Pr  0.3314  0.3314  0.2755  5 Sm 3.66-3.73, 7 La 3.68-3.72
Pr  0.6686  0.6686  0.7245  5 Sm 3.66-3.73, 7 La 3.68-3.72
Sm  0.0000  0.0000  0.5000  8 La 3.70, 4 Pr 3.73
Sm  0.3351  0.3351  0.9469  3 Pr 3.66-3.71, 3 Sm 3.66-3.70, 6 La 3.69-3.72
Sm  0.6649  0.6649  0.0531  3 Pr 3.66-3.71, 3 Sm 3.66-3.70, 6 La 3.69-3.72



12.
# La2CuRe

Crystalline La2CuRe at its relaxed geometry (PBE, Alexandria via LeMat-Bulk).

Energy above the lowest structure with this stoichiometry in meV per atom: 695
ΔH_f (0 K) in meV per atom: 844

Lattice parameters (Å, degrees): 8.5307 8.5307 8.5307 139.16 139.16 59.14
With the nearest neighbours (Å) after each atom.
Element x y z (fractional)
La  0.0796  0.6250  0.9546  2 Re 2.67, 2 Cu 2.96
La  0.3750  0.3296  0.4546  2 Re 2.67, 2 Cu 2.96
La  0.6704  0.1250  0.0454  2 Re 2.67, 2 Cu 2.96
La  0.8750  0.9204  0.5454  2 Re 2.67, 2 Cu 2.96
Cu  0.2500  0.7500  0.5000  4 La 2.96
Cu  0.5000  0.5000  0.0000  4 La 2.96
Re  0.0000  0.0000  0.0000  4 La 2.67
Re  0.7500  0.2500  0.5000  4 La 2.67



Number 1: N(E_F) 23.083 states/eV per cell. Number 2: N(E_F) 5.451 states/eV per cell. Number 3: N(E_F) 1.372 states/eV per cell. Number 4: N(E_F) 4.149 states/eV per cell. Number 5: N(E_F) 9.729 states/eV per cell. Number 6: N(E_F) 5.918 states/eV per cell. Number 7: N(E_F) 17.762 states/eV per cell. Number 8: N(E_F) 1.180 states/eV per cell. Number 9: N(E_F) 3.426 states/eV per cell. Number 10: N(E_F) 13.097 states/eV per cell. Number 11: N(E_F) 17.920 states/eV per cell. Number 12: N(E_F) 0.001 states/eV per cell.